# 1
Here is CaCrP after structural relaxation from Alexandria via LeMat-Bulk. Energies are from GGA-PBE.

Unit cell a=4.6755 b=4.6755 c=4.6755 alpha=60.00 beta=60.00 gamma=60.00
Last column: nearest neighbours and their distance in Å.
Fractional positions:
Ca 0.7500 0.7500 0.7500  4 Cr 2.86, 4 P 2.86
P 0.5000 0.5000 0.5000  4 Ca 2.86
Cr 0.0000 0.0000 0.0000  4 Ca 2.86

Total magnetic moment in μB per atom: 1.67

***

# 2
Here is CaCrP after structural relaxation from Alexandria via LeMat-Bulk. Energies are from GGA-PBE.

Unit cell a=9.3422 b=3.8827 c=7.9507 alpha=90.00 beta=93.12 gamma=90.00
Last column: nearest neighbours and their distance in Å.
Fractional positions:
P 0.8004 0.5000 0.8958  3 Cr 2.35-2.39
P 0.4825 0.0000 0.7278  3 Cr 2.32-2.34
P 0.8004 0.0000 0.3958  3 Cr 2.35-2.39
P 0.4825 0.5000 0.2278  3 Cr 2.32-2.34
Cr 0.6656 0.0000 0.9361  1 Cr 2.01
Cr 0.6135 0.5000 0.6785  1 Cr 2.01
Cr 0.6656 0.5000 0.4361  1 Cr 2.01
Cr 0.6135 0.0000 0.1785  1 Cr 2.01
Ca 0.3446 0.5000 0.9169  3 P 2.72-2.81
Ca 0.9619 0.5000 0.6012  3 P 2.85-2.91, 1 Cr 3.00
Ca 0.3446 0.0000 0.4169  3 P 2.72-2.81
Ca 0.9619 0.0000 0.1012  3 P 2.85-2.91, 1 Cr 3.00

Total magnetic moment in μB per atom: 0.03

***

The following ΔE_f values (in eV per atom) correspond, in order, to the records above: 0.404; -0.351.